[1]
Tb2CeGa after structural relaxation, computed with PBE.

The value obtained for the relative energy among the computed polymorphs is 0.025 eV per atom. For the calculated volume, the calculation gives 25.90 A^3/atom. The value obtained for the formation energy from the elements is -0.22 eV per atom. The final energy comes out at -19.09 eV/cell.

It has space group P4/mmm (No. 123), with a = 4.7794 Å, b = 4.7794 Å, c = 4.5348 Å, α = 90.00°, β = 90.00° and γ = 90.00°. The inequivalent atoms are Tb at (0.0000, 0.5000, 0.0000), Ce at (0.0000, 0.0000, 0.5000) and Ga at (0.5000, 0.5000, 0.5000).

[2]
TbCeGa after structural relaxation, computed with PBE.

The value obtained for the relative energy among the computed polymorphs is 0.190 eV per atom. For the calculated volume, the calculation gives 29.07 A^3/atom. The value obtained for the formation energy from the elements is -0.16 eV per atom. The final energy comes out at -56.23 eV/cell.

It has space group F-43m (No. 216), with a = 7.0397 Å, b = 7.0397 Å, c = 7.0397 Å, α = 90.00°, β = 90.00° and γ = 90.00°. The inequivalent atoms are Tb at (0.0000, 0.0000, 0.0000), Ce at (0.0000, 0.0000, 0.5000) and Ga at (0.2500, 0.2500, 0.2500).

[3]
TbCe2Ga3 after structural relaxation, computed with PBE.

For the calculated volume, the calculation gives 23.84 A^3/atom. The value obtained for the formation energy from the elements is -0.50 eV per atom. The final energy comes out at -57.12 eV/cell.

It has space group P-3m1 (No. 164), with a = 5.1231 Å, b = 5.1231 Å, c = 12.5850 Å, α = 90.00°, β = 90.00° and γ = 120.00°. The inequivalent atoms are Tb at (0.3333, 0.6667, 0.1669), Ce at (0.0000, 0.0000, 0.0000), Ce at (0.0000, 0.0000, 0.5000), Ce at (0.3333, 0.6667, 0.6680), Ga at (0.0000, 0.0000, 0.2473), Ga at (0.3333, 0.6667, 0.4144) and Ga at (0.3333, 0.6667, 0.9171).

[4]
TbCeGa after structural relaxation, computed with PBE.

The value obtained for the relative energy among the computed polymorphs is 0.080 eV per atom. For the calculated volume, the calculation gives 26.56 A^3/atom. The value obtained for the formation energy from the elements is -0.27 eV per atom. The final energy comes out at -86.33 eV/cell.

It has space group R-3m (No. 166, hexagonal axes), with a = 4.7785 Å, b = 4.7785 Å, c = 24.1728 Å, α = 90.00°, β = 90.00° and γ = 120.00°. The inequivalent atoms are Tb at (0.0000, 0.0000, 0.2099), Ce at (0.0000, 0.0000, 0.3568) and Ga at (0.0000, 0.0000, 0.0766).

[5]
Tb2CeGa after structural relaxation, computed with PBE.

The value obtained for the relative energy among the computed polymorphs is 0.000 eV per atom. For the calculated volume, the calculation gives 26.79 A^3/atom. The value obtained for the formation energy from the elements is -0.24 eV per atom. The final energy comes out at -19.19 eV/cell.

It has space group P4/mmm (No. 123), with a = 3.5046 Å, b = 3.5046 Å, c = 8.7246 Å, α = 90.00°, β = 90.00° and γ = 90.00°. The inequivalent atoms are Tb at (0.0000, 0.0000, 0.2152), Ce at (0.5000, 0.5000, 0.5000) and Ga at (0.5000, 0.5000, 0.0000).

[6]
Tb3Ce4Ga4 after structural relaxation, computed with PBE.

For the calculated volume, the calculation gives 25.89 A^3/atom. The value obtained for the formation energy from the elements is -0.38 eV per atom. The final energy comes out at -107.81 eV/cell.

It has space group Immm (No. 71), with a = 3.5001 Å, b = 8.7751 Å, c = 18.5412 Å, α = 90.00°, β = 90.00° and γ = 90.00°. The inequivalent atoms are Tb at (0.0000, 0.0000, 0.0000), Tb at (0.0000, 0.5000, 0.0935), Ce at (0.0000, 0.3397, 0.3344), Ga at (0.0000, 0.0000, 0.2796) and Ga at (0.0000, 0.2207, 0.5000).

[7]
Tb2CeGa2 after structural relaxation, computed with PBE.

For the calculated volume, the calculation gives 25.98 A^3/atom. The value obtained for the formation energy from the elements is -0.34 eV per atom. The final energy comes out at -91.82 eV/cell.

It has space group Cmc2_1 (No. 36), with a = 4.8009 Å, b = 17.2018 Å, c = 6.2928 Å, α = 90.00°, β = 90.00° and γ = 90.00°. The inequivalent atoms are Tb at (0.0000, 0.0182, 0.0000), Tb at (0.0000, 0.1931, 0.3131), Ce at (0.0000, 0.3930, 0.2156), Ga at (0.0000, 0.2006, 0.8303) and Ga at (0.0000, 0.4241, 0.7368).

[8]
TbCe2Ga after structural relaxation, computed with PBE.

The value obtained for the relative energy among the computed polymorphs is 0.000 eV per atom. For the calculated volume, the calculation gives 25.79 A^3/atom. The value obtained for the formation energy from the elements is -0.29 eV per atom. The final energy comes out at -41.37 eV/cell.

It has space group P2_1/m (No. 11), with a = 4.3872 Å, b = 4.2880 Å, c = 11.1514 Å, α = 90.00°, β = 100.43° and γ = 90.00°. The inequivalent atoms are Tb at (0.1988, 0.2500, 0.3982), Ce at (0.1062, 0.7500, 0.1251), Ce at (0.4875, 0.7500, 0.8781) and Ga at (0.3229, 0.2500, 0.6711).